Entry from Alexandria: an optimized crystal structure of LaDy5Er2 (GGA-PBE).

Offset from the most stable computed form = 0.0 meV per atom
Space-group type = No. 55
ρ = 8.4 g/cm³
Magnetic moment = 0.0000 μB/atom

Structure (POSCAR):
```
LaDy5Er2
1.0
7.132 0.000 0.000
0.000 14.266 0.000
0.000 0.000 5.021
La Dy Er
2 10 4
Direct
0.000 0.000 0.000 La
0.500 0.500 0.000 La
0.000 0.500 0.000 Dy
0.002 0.252 0.000 Dy
0.247 0.627 0.500 Dy
0.253 0.127 0.500 Dy
0.498 0.752 0.000 Dy
0.500 0.000 0.000 Dy
0.502 0.248 0.000 Dy
0.747 0.873 0.500 Dy
0.753 0.373 0.500 Dy
0.998 0.748 0.000 Dy
0.250 0.374 0.500 Er
0.250 0.874 0.500 Er
0.750 0.126 0.500 Er
0.750 0.626 0.500 Er
```


Entry from Alexandria: an optimized crystal structure of Be2Cd (GGA-PBE).

Offset from the most stable computed form = 0.0 meV per atom
Space-group type = No. 63
ρ = 5.5 g/cm³
Magnetic moment = 0.0000 μB/atom

Structure (POSCAR):
```
Be2Cd
1.0
1.492 -8.059 0.000
1.492 8.059 0.000
0.000 0.000 3.273
Be Cd
4 2
Direct
0.045 0.955 0.750 Be
0.450 0.550 0.750 Be
0.550 0.450 0.250 Be
0.955 0.045 0.250 Be
0.315 0.685 0.250 Cd
0.685 0.315 0.750 Cd
```


Entry from Alexandria: an optimized crystal structure of Tb2Tm3Th2 (GGA-PBE).

Offset from the most stable computed form = 109.5 meV per atom
Space-group type = No. 12
ρ = 9.7 g/cm³
Magnetic moment = 0.0000 μB/atom

Structure (POSCAR):
```
Tb2Tm3Th2
1.0
8.691 -1.713 0.000
8.691 1.713 0.000
-4.141 0.000 7.443
Tb Tm Th
2 3 2
Direct
0.063 0.063 0.220 Tb
0.937 0.937 0.780 Tb
0.285 0.285 0.370 Tm
0.500 0.500 0.500 Tm
0.715 0.715 0.630 Tm
0.348 0.348 0.044 Th
0.652 0.652 0.956 Th
```